Record 1
First-principles (SCAN) data for SrBPb3 at its PBEsol-relaxed geometry, as listed in the Alexandria database.

## Properties
- DFT total energy: -248.5 eV/cell
- Mass density: 5.645 g/cm3
- Spin magnetization: 0.0 μB/f.u.

POSCAR file:
```
SrBPb3
1.0
5.961 0.000 0.000
0.000 5.961 0.000
0.000 0.000 5.961
Sr B Pb
1 1 3
Direct
0.000 0.000 0.000
0.500 0.500 0.500
0.000 0.000 0.500
0.000 0.500 0.000
0.500 0.000 0.000
```

***

Record 2
First-principles (SCAN) data for SrB3Pb at its PBEsol-relaxed geometry, as listed in the Alexandria database.

## Properties
- DFT total energy: -111.2 eV/cell
- Mass density: 5.243 g/cm3
- Spin magnetization: 0.0 μB/f.u.

POSCAR file:
```
SrB3Pb
1.0
4.697 0.000 0.000
0.000 4.697 0.000
0.000 0.000 4.697
Sr B Pb
1 3 1
Direct
0.000 0.000 0.000
0.000 0.500 0.500
0.500 0.000 0.500
0.500 0.500 0.000
0.500 0.500 0.500
```

***

Record 3
First-principles (SCAN) data for SrB2Pb at its PBEsol-relaxed geometry, as listed in the Alexandria database.

## Properties
- DFT total energy: -218.4 eV/cell
- Mass density: 6.296 g/cm3
- Spin magnetization: 0.0 μB/f.u.

POSCAR file:
```
SrB2Pb
1.0
-2.238 2.238 8.332
2.238 -2.238 8.332
2.238 2.238 -8.332
Sr B Pb
2 4 2
Direct
0.375 0.625 0.750
0.625 0.375 0.250
0.000 0.000 0.000
0.000 0.000 0.500
0.000 0.500 0.000
0.500 0.000 0.500
0.125 0.875 0.250
0.875 0.125 0.750
```

***

Record 4
First-principles (SCAN) data for Ta3BPb at its PBEsol-relaxed geometry, as listed in the Alexandria database.

## Properties
- DFT total energy: -281.7 eV/cell
- Mass density: 14.945 g/cm3
- Spin magnetization: 0.0 μB/f.u.

POSCAR file:
```
Ta3BPb
1.0
4.389 0.000 0.000
0.000 4.389 0.000
0.000 0.000 4.389
Ta B Pb
3 1 1
Direct
0.000 0.000 0.500
0.000 0.500 0.000
0.500 0.000 0.000
0.000 0.000 0.000
0.500 0.500 0.500
```

***

Record 5
First-principles (SCAN) data for Tc3BPb at its PBEsol-relaxed geometry, as listed in the Alexandria database.

## Properties
- DFT total energy: -186.7 eV/cell
- Mass density: 11.743 g/cm3
- Spin magnetization: 3.0 μB/f.u.

POSCAR file:
```
Tc3BPb
1.0
4.168 0.000 0.000
0.000 4.168 0.000
0.000 0.000 4.168
Tc B Pb
3 1 1
Direct
0.000 0.000 0.500
0.000 0.500 0.000
0.500 0.000 0.000
0.000 0.000 0.000
0.500 0.500 0.500
```

***

Record 6
First-principles (SCAN) data for B3PbW at its PBEsol-relaxed geometry, as listed in the Alexandria database.

## Properties
- DFT total energy: -162.0 eV/cell
- Mass density: 9.009 g/cm3
- Spin magnetization: 0.0 μB/f.u.

POSCAR file:
```
B3PbW
1.0
4.274 0.000 0.000
0.000 4.274 0.000
0.000 0.000 4.274
B Pb W
3 1 1
Direct
0.000 0.000 0.500
0.000 0.500 0.000
0.500 0.000 0.000
0.500 0.500 0.500
0.000 0.000 0.000
```

***

Record 7
First-principles (SCAN) data for BPbW3 at its PBEsol-relaxed geometry, as listed in the Alexandria database.

## Properties
- DFT total energy: -288.1 eV/cell
- Mass density: 16.419 g/cm3
- Spin magnetization: 0.0 μB/f.u.

POSCAR file:
```
BPbW3
1.0
4.270 0.000 0.000
0.000 4.270 0.000
0.000 0.000 4.270
B Pb W
1 1 3
Direct
0.000 0.000 0.000
0.500 0.500 0.500
0.000 0.000 0.500
0.000 0.500 0.000
0.500 0.000 0.000
```

***

Record 8
First-principles (SCAN) data for YBPb3 at its PBEsol-relaxed geometry, as listed in the Alexandria database.

## Properties
- DFT total energy: -255.8 eV/cell
- Mass density: 6.327 g/cm3
- Spin magnetization: 0.0 μB/f.u.

POSCAR file:
```
YBPb3
1.0
5.742 0.000 0.000
0.000 5.742 0.000
0.000 0.000 5.742
Y B Pb
1 1 3
Direct
0.000 0.000 0.000
0.500 0.500 0.500
0.000 0.000 0.500
0.000 0.500 0.000
0.500 0.000 0.000
```

***

Record 9
First-principles (SCAN) data for ZnB2Pb at its PBEsol-relaxed geometry, as listed in the Alexandria database.

## Properties
- DFT total energy: -200.3 eV/cell
- Mass density: 8.498 g/cm3
- Spin magnetization: 0.0 μB/f.u.

POSCAR file:
```
ZnB2Pb
1.0
-2.032 2.032 6.963
2.032 -2.032 6.963
2.032 2.032 -6.963
Zn B Pb
2 4 2
Direct
0.000 0.000 0.000
0.750 0.250 0.500
0.375 0.238 0.363
0.762 0.125 0.137
0.875 0.012 0.637
0.988 0.625 0.863
0.250 0.750 0.500
0.500 0.500 0.000
```

***

Record 10
First-principles (SCAN) data for B2Pd5 at its PBEsol-relaxed geometry, as listed in the Alexandria database.

## Properties
- DFT total energy: -361.8 eV/cell
- Mass density: 10.839 g/cm3
- Spin magnetization: 0.0 μB/f.u.

POSCAR file:
```
B2Pd5
1.0
6.348 -2.466 0.000
6.348 2.466 0.000
-0.679 0.000 5.418
B Pd
4 10
Direct
0.088 0.684 0.921
0.316 0.912 0.579
0.684 0.088 0.421
0.912 0.316 0.079
0.073 0.927 0.250
0.140 0.286 0.813
0.286 0.140 0.313
0.309 0.500 0.580
0.500 0.309 0.080
0.500 0.691 0.920
0.691 0.500 0.420
0.714 0.860 0.687
0.860 0.714 0.187
0.927 0.073 0.750
```

***

Record 11
First-principles (SCAN) data for BPd6 at its PBEsol-relaxed geometry, as listed in the Alexandria database.

## Properties
- DFT total energy: -411.3 eV/cell
- Mass density: 11.307 g/cm3
- Spin magnetization: 0.0 μB/f.u.

POSCAR file:
```
BPd6
1.0
2.450 -4.228 0.000
2.450 4.228 0.000
-1.593 0.000 9.205
B Pd
2 12
Direct
0.081 0.919 0.750
0.919 0.081 0.250
0.040 0.218 0.621
0.124 0.616 0.878
0.218 0.040 0.121
0.303 0.467 0.378
0.384 0.876 0.622
0.467 0.303 0.878
0.533 0.697 0.122
0.616 0.124 0.378
0.697 0.533 0.622
0.782 0.960 0.879
0.876 0.384 0.122
0.960 0.782 0.379
```

***

Record 12
First-principles (SCAN) data for B3PdPt at its PBEsol-relaxed geometry, as listed in the Alexandria database.

## Properties
- DFT total energy: -120.2 eV/cell
- Mass density: 8.303 g/cm3
- Spin magnetization: 0.0 μB/f.u.

POSCAR file:
```
B3PdPt
1.0
4.057 0.000 0.000
0.000 4.057 0.000
0.000 0.000 4.057
B Pd Pt
3 1 1
Direct
0.000 0.000 0.500
0.000 0.500 0.000
0.500 0.000 0.000
0.500 0.500 0.500
0.000 0.000 0.000
```

***

Record 13
First-principles (SCAN) data for B2PdPt at its PBEsol-relaxed geometry, as listed in the Alexandria database.

## Properties
- DFT total energy: -115.8 eV/cell
- Mass density: 12.723 g/cm3
- Spin magnetization: 0.0 μB/f.u.

POSCAR file:
```
B2PdPt
1.0
0.000 2.763 2.763
2.763 0.000 2.763
2.763 2.763 0.000
B Pd Pt
2 1 1
Direct
0.250 0.250 0.250
0.750 0.750 0.750
0.000 0.000 0.000
0.500 0.500 0.500
```

***

Record 14
First-principles (SCAN) data for BPd2Pt at its PBEsol-relaxed geometry, as listed in the Alexandria database.

## Properties
- DFT total energy: -286.7 eV/cell
- Mass density: 13.154 g/cm3
- Spin magnetization: 0.0 μB/f.u.

POSCAR file:
```
BPd2Pt
1.0
-3.330 3.330 2.384
3.330 -3.330 2.384
3.330 3.330 -2.384
B Pd Pt
2 4 2
Direct
0.000 0.000 0.000
0.750 0.250 0.500
0.039 0.625 0.914
0.375 0.289 0.414
0.711 0.125 0.086
0.875 0.961 0.586
0.250 0.750 0.500
0.500 0.500 0.000
```

***

Record 15
First-principles (SCAN) data for B2PdPt2 at its PBEsol-relaxed geometry, as listed in the Alexandria database.

## Properties
- DFT total energy: -189.3 eV/cell
- Mass density: 14.245 g/cm3
- Spin magnetization: 0.0 μB/f.u.

POSCAR file:
```
B2PdPt2
1.0
-1.525 1.525 6.493
1.525 -1.525 6.493
1.525 1.525 -6.493
B Pd Pt
2 1 2
Direct
0.250 0.750 0.500
0.750 0.250 0.500
0.000 0.000 0.000
0.363 0.363 0.000
0.637 0.637 0.000
```

***

Record 16
First-principles (SCAN) data for ReB3Pd at its PBEsol-relaxed geometry, as listed in the Alexandria database.

## Properties
- DFT total energy: -115.9 eV/cell
- Mass density: 8.980 g/cm3
- Spin magnetization: 1.8 μB/f.u.

POSCAR file:
```
ReB3Pd
1.0
3.917 0.000 0.000
0.000 3.917 0.000
0.000 0.000 3.917
Re B Pd
1 3 1
Direct
0.000 0.000 0.000
0.000 0.500 0.500
0.500 0.000 0.500
0.500 0.500 0.000
0.500 0.500 0.500
```

***

Record 17
First-principles (SCAN) data for Sc2BPdRh at its PBEsol-relaxed geometry, as listed in the Alexandria database.

## Properties
- DFT total energy: -98.6 eV/cell
- Mass density: 4.813 g/cm3
- Spin magnetization: 0.0 μB/f.u.

POSCAR file:
```
Sc2BPdRh
1.0
4.720 0.000 0.000
0.000 4.720 0.000
0.000 0.000 4.802
Sc B Pd Rh
2 1 1 1
Direct
0.000 0.500 0.000
0.500 0.000 0.000
0.000 0.000 0.500
0.500 0.500 0.500
0.500 0.500 0.000
```

***

Record 18
First-principles (SCAN) data for BPd2S at its PBEsol-relaxed geometry, as listed in the Alexandria database.

## Properties
- ΔE_f (raw): 0.3 eV/f.u.
- DFT total energy: -164.6 eV/cell
- Mass density: 6.779 g/cm3
- Spin magnetization: 0.0 μB/f.u.

POSCAR file:
```
BPd2S
1.0
-2.364 2.364 5.603
2.364 -2.364 5.603
2.364 2.364 -5.603
B Pd S
2 4 2
Direct
0.000 0.000 0.000
0.750 0.250 0.500
0.064 0.625 0.939
0.375 0.314 0.439
0.686 0.125 0.061
0.875 0.936 0.561
0.250 0.750 0.500
0.500 0.500 0.000
```

***

Record 19
First-principles (SCAN) data for TcBPdS2 at its PBEsol-relaxed geometry, as listed in the Alexandria database.

## Properties
- ΔE_f (raw): 8.5 eV/f.u.
- DFT total energy: -86.0 eV/cell
- Mass density: 4.594 g/cm3
- Spin magnetization: 4.3 μB/f.u.

POSCAR file:
```
TcBPdS2
1.0
4.457 0.000 0.000
0.000 4.457 0.000
0.000 0.000 5.085
Tc B Pd S
1 1 1 2
Direct
0.000 0.000 0.000
0.500 0.500 0.000
0.000 0.000 0.500
0.000 0.500 0.500
0.500 0.000 0.500
```

***

Record 20
First-principles (SCAN) data for ZnB2SbPd at its PBEsol-relaxed geometry, as listed in the Alexandria database.

## Properties
- ΔE_f (raw): 4.1 eV/f.u.
- DFT total energy: -94.3 eV/cell
- Mass density: 5.784 g/cm3
- Spin magnetization: 0.0 μB/f.u.

POSCAR file:
```
ZnB2SbPd
1.0
3.988 0.000 0.000
0.000 3.988 0.000
0.000 0.000 5.690
Zn B Sb Pd
1 2 1 1
Direct
0.000 0.000 0.000
0.000 0.500 0.500
0.500 0.000 0.500
0.500 0.500 0.000
0.500 0.500 0.500
```